Density functional theory data (meta-GGA SCAN) for TlAu2 at its PBEsol-relaxed geometry.

Structure (POSCAR):
```
TlAu2
1.0
-1.165 -4.102 1.625
3.201 -2.775 1.695
0.174 -0.810 4.487
Tl Au
1 2
direct
0.000 0.000 0.000 Tl
0.250 0.250 0.250 Au
0.750 0.750 0.750 Au
```

Values from the calculation:
- ρ (g/cm³) = 14.8
- final energy (hartree per atom) = -2.5710
- space-group type = Fm-3m, No. 225
- formation energy (eV per formula unit) = 0.79